A plane-wave DFT calculation with SCAN was carried out for a crystal of YMo2W relaxed with PBEsol.

## Properties
Calculated density   10.97 g/cm3
ΔE to the lowest computed polymorph   99 meV per atom
Magnetization   0.000 μB/atom
SG   Immm
E_form   0.459 eV/atom

Lattice parameters (Å, degrees): 5.3749 5.3749 5.3749 145.27 126.38 65.48
Fractional positions:
Y 0.0000 0.0000 0.0000
Mo 0.2663 0.7663 0.5000
Mo 0.7337 0.2337 0.5000
W 0.5000 0.5000 0.0000